Record 1
# Li2U3P2O15 (PBE-GGA, optimized geometry)
data_Li2U3P2O15
_chemical_formula_sum 'Li8 U12 P8 O60'
_cell_length_a 7.207
_cell_length_b 7.207
_cell_length_c 25.514
_cell_angle_alpha 90.00
_cell_angle_beta 90.00
_cell_angle_gamma 90.00
_symmetry_space_group_name_H-M 'I 41/a m d'
_symmetry_Int_Tables_number 141
loop_
_symmetry_equiv_pos_as_xyz
'x,y,z'
'-x,-y,-z'
'-y+1/4,x+3/4,z+1/4'
'y+1/4,-x+3/4,-z+1/4'
'-x+1/2,-y,z+1/2'
'x+1/2,y,-z+1/2'
'y+1/4,-x+1/4,z+3/4'
'-y+1/4,x+1/4,-z+3/4'
'x,-y,-z'
'-x,y,z'
'-y+1/4,-x+1/4,-z+3/4'
'y+1/4,x+1/4,z+3/4'
'-x+1/2,y,-z+1/2'
'x+1/2,-y,z+1/2'
'y+1/4,x+3/4,-z+1/4'
'-y+1/4,-x+3/4,z+1/4'
'x+1/2,y+1/2,z+1/2'
'-x+1/2,-y+1/2,-z+1/2'
'-y+3/4,x+1/4,z+3/4'
'y+3/4,-x+1/4,-z+3/4'
'-x,-y+1/2,z'
'x,y+1/2,-z'
'y+3/4,-x+3/4,z+1/4'
'-y+3/4,x+3/4,-z+1/4'
'x+1/2,-y+1/2,-z+1/2'
'-x+1/2,y+1/2,z+1/2'
'-y+3/4,-x+3/4,-z+1/4'
'y+3/4,x+3/4,z+1/4'
'-x,y+1/2,-z'
'x,-y+1/2,z'
'y+3/4,x+1/4,-z+3/4'
'-y+3/4,-x+1/4,z+3/4'
loop_
_atom_site_label
_atom_site_type_symbol
_atom_site_fract_x
_atom_site_fract_y
_atom_site_fract_z
Li1 Li 0.000 0.250 0.061
U1 U 0.000 0.250 0.292
U2 U 0.000 0.250 0.875
P1 P 0.000 0.250 0.164
O1 O 0.000 0.003 0.712
O2 O 0.000 0.078 0.127
O3 O 0.000 0.082 0.548
O4 O 0.000 0.250 0.375
O5 O 0.000 0.250 0.804
# N(E_F), states/eV per atom: 0.000
# Energy relative to the elements, uncorrected, eV per atom: -2.74
# Total DFT energy (no corrections), eV per atom: -8.3292
# Crystal system: tetragonal



Record 2
# Cs5Br2O (PBE-GGA, optimized geometry)
data_Cs5Br2O
_chemical_formula_sum 'Cs10 Br4 O2'
_cell_length_a 16.058
_cell_length_b 7.288
_cell_length_c 10.374
_cell_angle_alpha 90.00
_cell_angle_beta 130.19
_cell_angle_gamma 90.00
_symmetry_space_group_name_H-M 'C 1 2 1'
_symmetry_Int_Tables_number 5
_symmetry_space_group_name_Hall 'C 2y'
loop_
_atom_site_label
_atom_site_type_symbol
_atom_site_fract_x
_atom_site_fract_y
_atom_site_fract_z
Cs1 Cs 0.000 0.000 0.000
Cs2 Cs 0.054 0.453 0.788
Cs3 Cs 0.225 0.436 0.293
Br1 Br 0.211 0.435 0.632
O1 O 0.000 0.378 0.000
# N(E_F), states/eV per atom: 0.276
# Energy relative to the elements, uncorrected, eV per atom: -1.23
# Total DFT energy (no corrections), eV per atom: -2.8056
# Crystal system: monoclinic



Record 3
# CePm4Sm (PBE-GGA, optimized geometry)
data_CePm4Sm
_chemical_formula_sum 'Ce2 Pm8 Sm2'
_cell_length_a 11.634
_cell_length_b 3.442
_cell_length_c 11.618
_cell_angle_alpha 90.00
_cell_angle_beta 118.86
_cell_angle_gamma 90.00
_symmetry_space_group_name_H-M 'C 1 2/m 1'
_symmetry_Int_Tables_number 12
_symmetry_space_group_name_Hall '-C 2y'
loop_
_atom_site_label
_atom_site_type_symbol
_atom_site_fract_x
_atom_site_fract_y
_atom_site_fract_z
Ce1 Ce 0.000 0.000 0.000
Pm1 Pm 0.157 0.500 0.845
Pm2 Pm 0.158 0.000 0.340
Sm1 Sm 0.000 0.500 0.500
# Relative energy among the computed polymorphs, meV/atom: 0.0
# N(E_F), states/eV per atom: 2.456
# Total DFT energy (no corrections), eV per atom: -4.7307
# Crystal system: monoclinic



Record 4
# BaCd8Hg2 (PBE-GGA, optimized geometry)
data_BaCd8Hg2
_chemical_formula_sum 'Ba1 Cd8 Hg2'
_cell_length_a 5.960
_cell_length_b 5.960
_cell_length_c 10.446
_cell_angle_alpha 90.00
_cell_angle_beta 90.00
_cell_angle_gamma 90.00
_symmetry_space_group_name_H-M 'P 4/m m m'
_symmetry_Int_Tables_number 123
_symmetry_space_group_name_Hall '-P 4 2'
loop_
_atom_site_label
_atom_site_type_symbol
_atom_site_fract_x
_atom_site_fract_y
_atom_site_fract_z
Ba1 Ba 0.000 0.000 0.000
Cd1 Cd 0.253 0.253 0.276
Hg1 Hg 0.000 0.500 0.500
# Relative energy among the computed polymorphs, meV/atom: 69.6
# N(E_F), states/eV per atom: 0.509
# Total DFT energy (no corrections), eV per atom: -0.8372
# Crystal system: tetragonal



Record 5
# MgCd3Hg5 (PBE-GGA, optimized geometry)
data_MgCd3Hg5
_chemical_formula_sum 'Mg2 Cd6 Hg10'
_cell_length_a 8.8355
_cell_length_b 8.8355
_cell_length_c 6.4557
_cell_angle_alpha 90.00
_cell_angle_beta 90.00
_cell_angle_gamma 120.00
_symmetry_space_group_name_H-M 'P 63/m c m'
_symmetry_Int_Tables_number 193
_symmetry_space_group_name_Hall '-P 6c 2'
loop_
_atom_site_label
_atom_site_type_symbol
_atom_site_fract_x
_atom_site_fract_y
_atom_site_fract_z
Mg1 Mg 0.0000 0.0000 0.0000
Cd1 Cd 0.0000 0.3791 0.2500
Hg1 Hg 0.0000 0.2827 0.7500
Hg2 Hg 0.3333 0.6667 0.0000
# Relative energy among the computed polymorphs, meV/atom: 0.0
# N(E_F), states/eV per atom: 0.343
# Total DFT energy (no corrections), eV per atom: -0.6568
# Crystal system: hexagonal



Record 6
# TbSm14Ho (PBE-GGA, optimized geometry)
data_TbSm14Ho
_chemical_formula_sum 'Tb1 Sm14 Ho1'
_cell_length_a 7.253
_cell_length_b 7.253
_cell_length_c 10.222
_cell_angle_alpha 90.00
_cell_angle_beta 90.00
_cell_angle_gamma 90.00
_symmetry_space_group_name_H-M 'P 4/m m m'
_symmetry_Int_Tables_number 123
_symmetry_space_group_name_Hall '-P 4 2'
loop_
_atom_site_label
_atom_site_type_symbol
_atom_site_fract_x
_atom_site_fract_y
_atom_site_fract_z
Tb1 Tb 0.000 0.000 0.000
Sm1 Sm 0.000 0.000 0.500
Sm2 Sm 0.000 0.500 0.000
Sm3 Sm 0.000 0.500 0.500
Sm4 Sm 0.250 0.250 0.249
Sm5 Sm 0.500 0.500 0.500
Ho1 Ho 0.500 0.500 0.000
# N(E_F), states/eV per atom: 1.459
# Total DFT energy (no corrections), eV per atom: -4.6895
# Crystal system: tetragonal



Record 7
# Tc3AuI (PBE-GGA, optimized geometry)
data_Tc3AuI
_chemical_formula_sum 'Tc3 Au1 I1'
_cell_length_a 4.802
_cell_length_b 4.802
_cell_length_c 4.802
_cell_angle_alpha 90.00
_cell_angle_beta 90.00
_cell_angle_gamma 90.00
_symmetry_space_group_name_H-M 'P m -3 m'
_symmetry_Int_Tables_number 221
_symmetry_space_group_name_Hall '-P 4 2 3'
loop_
_atom_site_label
_atom_site_type_symbol
_atom_site_fract_x
_atom_site_fract_y
_atom_site_fract_z
Tc1 Tc 0.000 0.000 0.500
Au1 Au 0.500 0.500 0.500
I1 I 0.000 0.000 0.000
# Relative energy among the computed polymorphs, meV/atom: 0.0
# N(E_F), states/eV per atom: 1.143
# Energy relative to the elements, uncorrected, eV per atom: 2.04
# Total DFT energy (no corrections), eV per atom: -5.1436
# Crystal system: cubic



Record 8
# Ni9Sb2W (PBE-GGA, optimized geometry)
data_Ni9Sb2W
_chemical_formula_sum 'Ni9 Sb2 W1'
_cell_length_a 3.692
_cell_length_b 3.692
_cell_length_c 11.203
_cell_angle_alpha 90.00
_cell_angle_beta 90.00
_cell_angle_gamma 90.00
_symmetry_space_group_name_H-M 'P 4/m m m'
_symmetry_Int_Tables_number 123
_symmetry_space_group_name_Hall '-P 4 2'
loop_
_atom_site_label
_atom_site_type_symbol
_atom_site_fract_x
_atom_site_fract_y
_atom_site_fract_z
Ni1 Ni 0.000 0.000 0.000
Ni2 Ni 0.000 0.000 0.326
Ni3 Ni 0.000 0.500 0.156
Ni4 Ni 0.000 0.500 0.500
Sb1 Sb 0.500 0.500 0.333
W1 W 0.500 0.500 0.000
# N(E_F), states/eV per atom: 1.119
# Energy relative to the elements, uncorrected, eV per atom: -0.09
# Total DFT energy (no corrections), eV per atom: -6.1932
# Crystal system: tetragonal



Magnetic moment list, top to bottom, in μB/f.u.: 0.0, 0.0, 1.3, 0.0, 0.0, 0.0, 2.3, 0.0